Record 1
DFT (SCAN) results for La2TiCoO6 at its PBEsol-relaxed geometry.

Results
Its space-group type is No. 14. The calculation puts the uncorrected formation energy at -3.20 eV/atom.

POSCAR file:
```
La2TiCoO6
1.0
5.4748 0.0000 0.0000
0.0000 5.4754 0.0000
-5.4744 0.0000 7.7022
La Ti Co O
4 2 2 12
Direct
0.2456 0.0305 0.2511
0.2456 0.4695 0.7511
0.7544 0.5305 0.2489
0.7544 0.9695 0.7489
0.0000 0.0000 0.5000
0.0000 0.5000 0.0000
0.5000 0.0000 0.0000
0.5000 0.5000 0.5000
0.1797 0.2196 0.9634
0.1797 0.2804 0.4634
0.2430 0.7171 0.9639
0.2430 0.7829 0.4639
0.3176 0.0115 0.7491
0.3176 0.4885 0.2491
0.6824 0.5115 0.7509
0.6824 0.9885 0.2509
0.7570 0.2171 0.5361
0.7570 0.2829 0.0361
0.8203 0.7196 0.5366
0.8203 0.7804 0.0366
```


Record 2
DFT (SCAN) results for LaCoOs2 at its PBEsol-relaxed geometry.

Results
The calculation puts the formation energy at 14.407 kcal/mol of atoms. Its space-group type is No. 44. The distance to the lowest polymorph of the same formula comes out at 124.8 meV per atom.

POSCAR file:
```
LaCoOs2
1.0
-1.4442 2.4381 4.7656
1.4442 -2.4381 4.7656
1.4442 2.4381 -4.7656
La Co Os
1 1 2
Direct
0.0000 0.0000 0.0000
0.7270 0.2270 0.5000
0.2831 0.7831 0.5000
0.5106 0.5106 0.0000
```


Record 3
DFT (SCAN) results for LaCoOs2 at its PBEsol-relaxed geometry.

Results
The calculation puts the formation energy at 11.528 kcal/mol of atoms. Its space-group type is No. 10. The distance to the lowest polymorph of the same formula comes out at 0.0 meV per atom.

POSCAR file:
```
LaCoOs2
1.0
2.8451 0.0000 0.0000
0.0000 4.3404 0.0000
-1.1186 0.0000 5.4616
La Co Os
1 1 2
Direct
0.0000 0.0000 0.0000
0.5000 0.0000 0.5000
0.3196 0.5000 0.6951
0.6804 0.5000 0.3049
```


Record 4
DFT (SCAN) results for LaCo2P2 at its PBEsol-relaxed geometry.

Results
The calculation puts the formation energy at -22.920 kcal/mol of atoms. Its space-group type is No. 139.

POSCAR file:
```
LaCo2P2
1.0
-1.8492 1.8492 5.6167
1.8492 -1.8492 5.6167
1.8492 1.8492 -5.6167
La Co P
1 2 2
Direct
0.0000 0.0000 0.0000
0.2500 0.7500 0.5000
0.7500 0.2500 0.5000
0.3541 0.3541 0.0000
0.6459 0.6459 0.0000
```


Record 5
DFT (SCAN) results for LaPrCo4P4 at its PBEsol-relaxed geometry.

Results
The calculation puts the formation energy at -22.706 kcal/mol of atoms. Its space-group type is No. 123.

POSCAR file:
```
LaPrCo4P4
1.0
3.7583 0.0000 0.0000
0.0000 3.7583 0.0000
0.0000 0.0000 10.7185
La Pr Co P
1 1 4 4
Direct
0.0000 0.0000 0.0000
0.5000 0.5000 0.5000
0.0000 0.5000 0.2542
0.0000 0.5000 0.7458
0.5000 0.0000 0.2542
0.5000 0.0000 0.7458
0.0000 0.0000 0.3603
0.0000 0.0000 0.6397
0.5000 0.5000 0.1486
0.5000 0.5000 0.8514
```


Record 6
DFT (SCAN) results for LaPr3Co8P8 at its PBEsol-relaxed geometry.

Results
The calculation puts the formation energy at -22.541 kcal/mol of atoms. Its space-group type is No. 123.

POSCAR file:
```
LaPr3Co8P8
1.0
3.8397 0.0000 0.0000
0.0000 3.8397 0.0000
0.0000 0.0000 19.9195
La Pr Co P
1 3 8 8
Direct
0.0000 0.0000 0.0000
0.0000 0.0000 0.5000
0.5000 0.5000 0.2541
0.5000 0.5000 0.7459
0.0000 0.5000 0.1311
0.0000 0.5000 0.3772
0.0000 0.5000 0.6228
0.0000 0.5000 0.8689
0.5000 0.0000 0.1311
0.5000 0.0000 0.3772
0.5000 0.0000 0.6228
0.5000 0.0000 0.8689
0.0000 0.0000 0.1870
0.0000 0.0000 0.3209
0.0000 0.0000 0.6791
0.0000 0.0000 0.8130
0.5000 0.5000 0.0758
0.5000 0.5000 0.4332
0.5000 0.5000 0.5668
0.5000 0.5000 0.9242
```


Record 7
DFT (SCAN) results for La2CoPb at its PBEsol-relaxed geometry.

Results
The calculation puts the formation energy at -6.988 kcal/mol of atoms. Its space-group type is No. 6.

POSCAR file:
```
La2CoPb
1.0
4.8061 0.0000 0.0000
0.0000 4.2112 0.0000
-2.3828 0.0000 5.2517
La Co Pb
2 1 1
Direct
0.0000 0.0000 0.0000
0.3179 0.5000 0.6385
0.7944 0.0000 0.5709
0.6210 0.5000 0.2416
```


Record 8
DFT (SCAN) results for La2Co2Pb at its PBEsol-relaxed geometry.

Results
The calculation puts the formation energy at -2.892 kcal/mol of atoms. Its space-group type is No. 139.

POSCAR file:
```
La2Co2Pb
1.0
-1.7347 1.7347 9.4051
1.7347 -1.7347 9.4051
1.7347 1.7347 -9.4051
La Co Pb
2 2 1
Direct
0.1300 0.1300 0.0000
0.8700 0.8700 0.0000
0.2500 0.7500 0.5000
0.7500 0.2500 0.5000
0.5000 0.5000 0.0000
```


Record 9
DFT (SCAN) results for LaCo4Pb at its PBEsol-relaxed geometry.

Results
The calculation puts the formation energy at 4.914 kcal/mol of atoms. Its space-group type is No. 216.

POSCAR file:
```
LaCo4Pb
1.0
0.0000 3.5718 3.5718
3.5718 0.0000 3.5718
3.5718 3.5718 0.0000
La Co Pb
1 4 1
Direct
0.0000 0.0000 0.0000
0.3760 0.3760 0.3760
0.3760 0.3760 0.8721
0.3760 0.8721 0.3760
0.8721 0.3760 0.3760
0.7500 0.7500 0.7500
```


Record 10
DFT (SCAN) results for LaCoPb at its PBEsol-relaxed geometry.

Results
The calculation puts the formation energy at 1.569 kcal/mol of atoms. Its space-group type is No. 216.

POSCAR file:
```
LaCoPb
1.0
0.0000 3.4602 3.4602
3.4602 0.0000 3.4602
3.4602 3.4602 0.0000
La Co Pb
1 1 1
Direct
0.0000 0.0000 0.0000
0.5000 0.5000 0.5000
0.7500 0.7500 0.7500
```


Record 11
DFT (SCAN) results for La2CoPb at its PBEsol-relaxed geometry.

Results
The calculation puts the formation energy at -5.175 kcal/mol of atoms. Its space-group type is No. 44.

POSCAR file:
```
La2CoPb
1.0
-1.7513 2.4113 5.9005
1.7513 -2.4113 5.9005
1.7513 2.4113 -5.9005
La Co Pb
2 1 1
Direct
0.0000 0.0000 0.0000
0.6871 0.1871 0.5000
0.4869 0.4869 0.0000
0.3074 0.8074 0.5000
```


Record 12
DFT (SCAN) results for LaCoPb at its PBEsol-relaxed geometry.

Results
The calculation puts the formation energy at 8.067 kcal/mol of atoms. Its space-group type is No. 216.

POSCAR file:
```
LaCoPb
1.0
0.0000 3.5055 3.5055
3.5055 0.0000 3.5055
3.5055 3.5055 0.0000
La Co Pb
1 1 1
Direct
0.0000 0.0000 0.0000
0.7500 0.7500 0.7500
0.2500 0.2500 0.2500
```


Record 13
DFT (SCAN) results for La3CoPd at its PBEsol-relaxed geometry.

Results
The calculation puts the formation energy at 4.542 kcal/mol of atoms. Its space-group type is No. 221.

POSCAR file:
```
La3CoPd
1.0
5.5000 0.0000 0.0000
0.0000 5.5000 0.0000
0.0000 0.0000 5.5000
La Co Pd
3 1 1
Direct
0.0000 0.0000 0.5000
0.0000 0.5000 0.0000
0.5000 0.0000 0.0000
0.5000 0.5000 0.5000
0.0000 0.0000 0.0000
```


Record 14
DFT (SCAN) results for Sr2LaCoPd at its PBEsol-relaxed geometry.

Results
The calculation puts the formation energy at 4.220 kcal/mol of atoms. Its space-group type is No. 123.

POSCAR file:
```
Sr2LaCoPd
1.0
5.5128 0.0000 0.0000
0.0000 5.5128 0.0000
0.0000 0.0000 4.8819
Sr La Co Pd
2 1 1 1
Direct
0.0000 0.5000 0.0000
0.5000 0.0000 0.0000
0.0000 0.0000 0.5000
0.0000 0.0000 0.0000
0.5000 0.5000 0.5000
```


Record 15
DFT (SCAN) results for LaCo2Pt at its PBEsol-relaxed geometry.

Results
The calculation puts the formation energy at -4.051 kcal/mol of atoms. Its space-group type is No. 47.

POSCAR file:
```
LaCo2Pt
1.0
4.1220 0.0000 0.0000
0.0000 4.2538 0.0000
0.0000 0.0000 4.4756
La Co Pt
1 2 1
Direct
0.0000 0.0000 0.0000
0.5000 0.5000 0.2364
0.5000 0.5000 0.7636
0.5000 0.0000 0.5000
```


Record 16
DFT (SCAN) results for LaCoPt3 at its PBEsol-relaxed geometry.

Results
The calculation puts the formation energy at -7.812 kcal/mol of atoms. Its space-group type is No. 221.

POSCAR file:
```
LaCoPt3
1.0
4.6076 0.0000 0.0000
0.0000 4.6076 0.0000
0.0000 0.0000 4.6076
La Co Pt
1 1 3
Direct
0.0000 0.0000 0.0000
0.5000 0.5000 0.5000
0.0000 0.5000 0.5000
0.5000 0.0000 0.5000
0.5000 0.5000 0.0000
```


Record 17
DFT (SCAN) results for LaCo2Pt at its PBEsol-relaxed geometry.

Results
The calculation puts the formation energy at 1.166 kcal/mol of atoms. Its space-group type is No. 123.

POSCAR file:
```
LaCo2Pt
1.0
3.2410 0.0000 0.0000
0.0000 3.2410 0.0000
0.0000 0.0000 6.2996
La Co Pt
1 2 1
Direct
0.0000 0.0000 0.0000
0.5000 0.5000 0.3146
0.5000 0.5000 0.6854
0.0000 0.0000 0.5000
```


Record 18
DFT (SCAN) results for La2CoPt at its PBEsol-relaxed geometry.

Results
The calculation puts the formation energy at -13.806 kcal/mol of atoms. Its space-group type is No. 65.

POSCAR file:
```
La2CoPt
1.0
2.4796 -2.4862 0.0000
2.4796 2.4862 0.0000
0.0000 0.0000 7.0363
La Co Pt
2 1 1
Direct
0.0000 0.0000 0.2378
0.0000 0.0000 0.7622
0.5000 0.5000 0.0000
0.5000 0.5000 0.5000
```


Record 19
DFT (SCAN) results for La2CoPt at its PBEsol-relaxed geometry.

Results
The calculation puts the formation energy at -13.844 kcal/mol of atoms. Its space-group type is No. 38.

POSCAR file:
```
La2CoPt
1.0
4.1485 0.0000 0.0000
0.0000 1.9847 5.4618
0.0000 -1.9847 5.4618
La Co Pt
2 1 1
Direct
0.0000 0.0000 0.0000
0.5000 0.2812 0.2812
0.5000 0.5482 0.5482
0.0000 0.7136 0.7136
```


Record 20
DFT (SCAN) results for LaCo2Pt at its PBEsol-relaxed geometry.

Results
The calculation puts the formation energy at -1.223 kcal/mol of atoms. Its space-group type is No. 123.

POSCAR file:
```
LaCo2Pt
1.0
4.0725 0.0000 0.0000
0.0000 4.0725 0.0000
0.0000 0.0000 3.8151
La Co Pt
1 2 1
Direct
0.0000 0.0000 0.0000
0.0000 0.5000 0.5000
0.5000 0.0000 0.5000
0.5000 0.5000 0.0000
```


Number 1: spin magnetization 0.100 μB/atom. Number 2: spin magnetization 0.504 μB/atom. Number 3: spin magnetization 0.573 μB/atom. Number 4: spin magnetization 0.171 μB/atom. Number 5: spin magnetization 0.255 μB/atom. Number 6: spin magnetization 0.333 μB/atom. Number 7: spin magnetization 0.000 μB/atom. Number 8: spin magnetization 0.460 μB/atom. Number 9: spin magnetization 1.160 μB/atom. Number 10: spin magnetization 0.666 μB/atom. Number 11: spin magnetization 0.001 μB/atom. Number 12: spin magnetization 0.623 μB/atom. Number 13: spin magnetization 0.184 μB/atom. Number 14: spin magnetization 0.000 μB/atom. Number 15: spin magnetization 0.781 μB/atom. Number 16: spin magnetization 0.576 μB/atom. Number 17: spin magnetization 0.875 μB/atom. Number 18: spin magnetization 0.230 μB/atom. Number 19: spin magnetization 0.000 μB/atom. Number 20: spin magnetization 0.623 μB/atom.